Entry from Alexandria: BeTl3 after structural relaxation (PBE).

Properties
- Symmetry: No. 223
- Energy above the lowest structure with this stoichiometry: 253 meV per atom
- ΔH_f (0 K): 0.57 eV per atom

a = 5.9828 Å, b = 5.9828 Å, c = 5.9828 Å
α = 90.00°, β = 90.00°, γ = 90.00°
Closest atoms and distances in Å follow each position.
Element x y z (fractional)
Be  0.5000  0.5000  0.5000  12 Tl 3.34
Tl  0.7500  0.5000  0.0000  2 Tl 2.99, 4 Be 3.34
Tl  0.0000  0.7500  0.5000  2 Tl 2.99, 4 Be 3.34
Tl  0.2500  0.5000  0.0000  2 Tl 2.99, 4 Be 3.34
Tl  0.5000  0.0000  0.7500  2 Tl 2.99, 4 Be 3.34
Be  0.0000  0.0000  0.0000  12 Tl 3.34
Tl  0.0000  0.2500  0.5000  2 Tl 2.99, 4 Be 3.34
Tl  0.5000  0.0000  0.2500  2 Tl 2.99, 4 Be 3.34